Record 1
A plane-wave DFT calculation with PBE+U was carried out for a relaxed structure of Ba2Co3AgF12.

Values from the calculation:
Symmetry   R-3m (166)
E   -4.972 eV/atom

```
Ba2Co3AgF12
1.0
-2.899 -3.054 -5.743
-3.221 -6.287 0.896
-7.108 -0.139 -0.412
Ba Co Ag F
2 3 1 12
direct
0.613 0.613 0.613 Ba
0.387 0.387 0.387 Ba
0.500 0.000 0.000 Co
0.000 0.500 0.000 Co
0.000 0.000 0.500 Co
0.000 0.000 0.000 Ag
0.287 0.287 0.864 F
0.860 0.860 0.439 F
0.439 0.860 0.860 F
0.864 0.287 0.287 F
0.860 0.439 0.860 F
0.287 0.864 0.287 F
0.713 0.713 0.136 F
0.140 0.140 0.561 F
0.561 0.140 0.140 F
0.136 0.713 0.713 F
0.140 0.561 0.140 F
0.713 0.136 0.713 F
```


Record 2
A plane-wave DFT calculation with PBE+U was carried out for a relaxed structure of BaCoAg2F8.

Values from the calculation:
Symmetry   P-3m1 (164)
E   -4.187 eV/atom

```
BaCoAg2F8
1.0
6.440 0.000 0.000
-3.220 5.577 0.000
0.000 0.000 6.856
Ba Co Ag F
1 1 2 8
direct
0.000 0.000 0.500 Ba
0.000 0.000 0.000 Co
0.333 0.667 0.803 Ag
0.667 0.333 0.197 Ag
0.132 0.264 0.832 F
0.132 0.868 0.832 F
0.736 0.868 0.832 F
0.264 0.132 0.168 F
0.667 0.333 0.506 F
0.333 0.667 0.494 F
0.868 0.736 0.168 F
0.868 0.132 0.168 F
```


Record 3
A plane-wave DFT calculation with PBE+U was carried out for a relaxed structure of BaCoAgF6.

Values from the calculation:
Symmetry   P312 (149)
E   -4.678 eV/atom

```
BaCoAgF6
1.0
-1.495 5.562 -0.942
-5.398 1.829 1.256
1.540 1.231 4.822
Ba Co Ag F
1 1 1 6
direct
0.000 0.000 0.000 Ba
0.333 0.333 0.500 Co
0.666 0.666 0.500 Ag
0.071 0.331 0.294 F
0.331 0.071 0.706 F
0.598 0.332 0.707 F
0.070 0.599 0.706 F
0.332 0.598 0.293 F
0.599 0.070 0.294 F
```


Record 4
A plane-wave DFT calculation with PBE+U was carried out for a relaxed structure of BaCoAg2F6.

Values from the calculation:
Symmetry   P2_1/c (14)
E   -4.531 eV/atom

```
BaCoAg2F6
1.0
6.001 0.000 -0.135
0.000 6.205 0.000
-0.149 0.000 8.810
Ba Co Ag F
2 2 4 12
direct
0.500 0.000 0.000 Ba
0.000 0.500 0.500 Ba
0.500 0.000 0.500 Co
0.000 0.500 0.000 Co
0.018 0.940 0.247 Ag
0.518 0.560 0.747 Ag
0.982 0.060 0.753 Ag
0.482 0.440 0.253 Ag
0.283 0.657 0.069 F
0.783 0.843 0.569 F
0.717 0.343 0.931 F
0.217 0.157 0.431 F
0.356 0.716 0.419 F
0.856 0.784 0.919 F
0.644 0.284 0.581 F
0.144 0.216 0.081 F
0.870 0.583 0.214 F
0.370 0.917 0.714 F
0.130 0.417 0.786 F
0.630 0.083 0.286 F
```


| no. | calculated volume (Å³ per atom) | magnetization (μB/f.u.) |
| --- | --- | --- |
| 1 | 15.0 | 10.0 |
| 2 | 20.5 | 1.0 |
| 3 | 17.1 | 0.1 |
| 4 | 16.4 | 3.0 |